DFT (PBE+U) results for a relaxed structure of FeTcO2.

Calculated values
As for the space group: Fm-3m, No. 225. The total energy comes out at -6.70 eV per atom.

```
data_FeTcO2
_chemical_formula_sum 'Fe1 Tc1 O2'
_cell_length_a 3.8418
_cell_length_b 3.8418
_cell_length_c 3.8418
_cell_angle_alpha 60.00
_cell_angle_beta 60.00
_cell_angle_gamma 60.00
_space_group_name_H-M_alt 'P 1'
_space_group_IT_number 1
loop_
_space_group_symop_operation_xyz
'x,y,z'
loop_
_atom_site_label
_atom_site_type_symbol
_atom_site_fract_x
_atom_site_fract_y
_atom_site_fract_z
Fe1 Fe 0.0000 0.0000 0.0000
Tc1 Tc 0.5000 0.5000 0.5000
O1 O 0.2500 0.2500 0.2500
O2 O 0.7500 0.7500 0.7500
```